Computed, not measured: LaCeOs after structural relaxation at the PBE-GGA level of DFT.

Results
Total moment ... 0.3 μB per formula unit
Polymorph energy (0 for the lowest one) ... 0.03 eV/f.u.
Space group ... P2_1/c (14)
Energy of formation ... -0.118 eV/atom
Volume ... 28.76 Å³ per atom

a b c (Å): 8.642 5.887 7.465
angles (deg): 65.33 90.00 90.00
Last column: magnetic moment on the atom in μB.
Atoms (fractional coordinates):
La (0.130, 0.771, 0.975)  0.02
La (0.370, 0.771, 0.475)  0.02
La (0.870, 0.229, 0.025)  0.02
La (0.630, 0.229, 0.525)  0.02
Ce (0.621, 0.736, 0.018)  0.23
Ce (0.379, 0.264, 0.982)  0.23
Ce (0.121, 0.264, 0.482)  0.23
Ce (0.879, 0.736, 0.518)  0.23
Os (0.625, 0.542, 0.753)  -0.03
Os (0.375, 0.458, 0.247)  -0.03
Os (0.875, 0.542, 0.253)  -0.03
Os (0.125, 0.458, 0.747)  -0.03



Computed, not measured: LaCeOs4 after structural relaxation at the PBE-GGA level of DFT.

Results
Total moment ... 0.0 μB per formula unit
Space group ... F-43m (216)
Energy of formation ... -0.141 eV/atom
Volume ... 18.95 Å³ per atom

a b c (Å): 5.438 5.438 5.438
angles (deg): 60.00 60.00 60.00
Atoms (fractional coordinates):
La (0.000, 0.000, 0.000)
Ce (0.250, 0.250, 0.250)
Os (0.625, 0.625, 0.125)
Os (0.625, 0.125, 0.625)
Os (0.125, 0.625, 0.625)
Os (0.625, 0.625, 0.625)



Computed, not measured: LaCe3Os after structural relaxation at the PBE-GGA level of DFT.

Results
Total moment ... 2.1 μB per formula unit
Polymorph energy (0 for the lowest one) ... 0.69 eV/f.u.
Space group ... Pm-3m (221)
Energy of formation ... 0.067 eV/atom
Volume ... 32.94 Å³ per atom

a b c (Å): 5.481 5.481 5.481
angles (deg): 90.00 90.00 90.00
Last column: magnetic moment on the atom in μB.
Atoms (fractional coordinates):
Os (0.000, 0.000, 0.000)  -0.05
Ce (0.000, 0.500, 0.000)  0.49
Ce (0.000, 0.000, 0.500)  0.49
Ce (0.500, 0.000, 0.000)  0.49
La (0.500, 0.500, 0.500)  0.11



Computed, not measured: LaCeOs after structural relaxation at the PBE-GGA level of DFT.

Results
Total moment ... 0.0 μB per formula unit
Polymorph energy (0 for the lowest one) ... 0.28 eV/f.u.
Space group ... I4mm (107)
Energy of formation ... -0.036 eV/atom
Volume ... 23.21 Å³ per atom

a b c (Å): 3.554 3.554 6.057
angles (deg): 107.06 107.06 90.00
Atoms (fractional coordinates):
Os (0.653, 0.653, 0.306)
Ce (0.020, 0.020, 0.039)
La (0.328, 0.328, 0.655)



Computed, not measured: La3Ce2Os2 after structural relaxation at the PBE-GGA level of DFT.

Results
Total moment ... 0.0 μB per formula unit
Space group ... C2/m (12)
Energy of formation ... -0.142 eV/atom
Volume ... 28.79 Å³ per atom

a b c (Å): 3.962 6.656 8.420
angles (deg): 72.80 89.98 72.64
Atoms (fractional coordinates):
La (0.500, 0.000, 0.000)
La (0.629, 0.743, 0.434)
La (0.371, 0.257, 0.566)
Ce (0.823, 0.354, 0.182)
Ce (0.177, 0.646, 0.818)
Os (0.817, 0.365, 0.812)
Os (0.183, 0.635, 0.188)



Computed, not measured: LaCe3Os after structural relaxation at the PBE-GGA level of DFT.

Results
Total moment ... 0.0 μB per formula unit
Polymorph energy (0 for the lowest one) ... 0.11 eV/f.u.
Space group ... P6_3/mmc (194)
Energy of formation ... -0.050 eV/atom
Volume ... 27.95 Å³ per atom

a b c (Å): 6.057 7.300 7.302
angles (deg): 120.02 90.00 90.00
Atoms (fractional coordinates):
La (0.750, 0.667, 0.333)
La (0.250, 0.333, 0.667)
Ce (0.750, 0.628, 0.814)
Ce (0.250, 0.814, 0.628)
Ce (0.250, 0.372, 0.186)
Ce (0.750, 0.186, 0.372)
Ce (0.250, 0.814, 0.186)
Ce (0.750, 0.186, 0.814)
Os (0.000, 0.000, 0.000)
Os (0.500, 0.000, 0.000)



Computed, not measured: LaCe4Os2 after structural relaxation at the PBE-GGA level of DFT.

Results
Total moment ... 0.7 μB per formula unit
Polymorph energy (0 for the lowest one) ... 0.00 eV/f.u.
Space group ... P2_1/m (11)
Energy of formation ... -0.101 eV/atom
Volume ... 26.36 Å³ per atom

a b c (Å): 6.341 8.459 7.716
angles (deg): 116.91 90.00 90.00
Last column: magnetic moment on the atom in μB.
Atoms (fractional coordinates):
Os (0.250, 0.230, 0.983)  -0.02
Os (0.750, 0.770, 0.017)  -0.02
Os (0.750, 0.339, 0.444)  -0.02
Os (0.250, 0.661, 0.556)  -0.02
Ce (0.485, 0.427, 0.796)  0.11
Ce (0.250, 0.295, 0.350)  0.10
Ce (0.750, 0.705, 0.650)  0.10
Ce (0.015, 0.427, 0.796)  0.11
Ce (0.750, 0.012, 0.386)  0.23
Ce (0.985, 0.573, 0.204)  0.11
Ce (0.515, 0.573, 0.204)  0.11
Ce (0.250, 0.988, 0.614)  0.23
La (0.250, 0.861, 0.991)  0.01
La (0.750, 0.139, 0.009)  0.01



Computed, not measured: La3Ce4Os4 after structural relaxation at the PBE-GGA level of DFT.

Results
Total moment ... 0.0 μB per formula unit
Space group ... Immm (71)
Energy of formation ... -0.143 eV/atom
Volume ... 24.70 Å³ per atom

a b c (Å): 4.703 7.653 8.785
angles (deg): 115.82 105.53 90.00
Atoms (fractional coordinates):
La (0.101, 0.101, 0.201)
La (0.899, 0.899, 0.799)
La (0.000, 0.500, 0.000)
Ce (0.335, 0.119, 0.669)
Ce (0.665, 0.450, 0.331)
Ce (0.665, 0.881, 0.331)
Ce (0.335, 0.550, 0.669)
Os (0.214, 0.714, 0.428)
Os (0.786, 0.286, 0.572)
Os (0.500, 0.811, 0.000)
Os (0.500, 0.189, 0.000)